1.
The following is a SCAN calculation of a PBEsol-optimized structure of YSiPt, from Alexandria via LeMat-Bulk.

```
YSiPt
1.0
4.231 0.000 0.000
-2.115 3.664 0.000
0.000 0.000 3.640
Y Si Pt
1 1 1
Cartesian
0.000 0.000 0.000 Y
2.115 1.221 1.820 Si
0.000 2.442 1.820 Pt
```

Calculated values
Density = 9.184 Mg/m³
Spin magnetization = 0.00 μB per formula unit
E = -112.075 eV/cell

---

2.
The following is a SCAN calculation of a PBEsol-optimized structure of CrCuRu2, from Alexandria via LeMat-Bulk.

```
CrCuRu2
1.0
0.000 2.954 2.954
2.954 0.000 2.954
2.954 2.954 0.000
Cr Cu Ru
1 1 2
Cartesian
0.000 0.000 0.000 Cr
4.430 4.430 4.430 Cu
1.477 1.477 1.477 Ru
2.954 2.954 2.954 Ru
```

Calculated values
Density = 10.236 Mg/m³
Spin magnetization = 3.33 μB per formula unit
Formation energy = 0.32 eV per atom

---

3.
The following is a SCAN calculation of a PBEsol-optimized structure of SrAlAg2, from Alexandria via LeMat-Bulk.

```
SrAlAg2
1.0
2.266 1.308 5.372
-2.266 1.308 5.372
0.000 -2.616 5.372
Sr Al Ag
1 1 2
Cartesian
0.000 0.000 0.000 Sr
0.000 0.000 8.058 Al
0.000 0.000 3.198 Ag
0.000 0.000 12.917 Ag
```

Calculated values
Density = 5.742 Mg/m³
Spin magnetization = 0.00 μB per formula unit
Formation energy = -0.32 eV per atom

---

4.
The following is a SCAN calculation of a PBEsol-optimized structure of Tl3SnOs, from Alexandria via LeMat-Bulk.

```
Tl3SnOs
1.0
5.220 0.000 0.000
0.000 5.220 0.000
0.000 0.000 5.220
Tl Sn Os
3 1 1
Cartesian
0.000 0.000 2.610 Tl
0.000 2.610 0.000 Tl
2.610 0.000 0.000 Tl
2.610 2.610 2.610 Sn
0.000 0.000 0.000 Os
```

Calculated values
Density = 10.763 Mg/m³
Spin magnetization = 1.44 μB per formula unit
Formation energy = 0.65 eV per atom

---

5.
The following is a SCAN calculation of a PBEsol-optimized structure of CrIrPt2, from Alexandria via LeMat-Bulk.

```
CrIrPt2
1.0
0.000 3.065 3.065
3.065 0.000 3.065
3.065 3.065 0.000
Cr Ir Pt
1 1 2
Cartesian
0.000 0.000 0.000 Cr
4.598 4.598 4.598 Ir
1.533 1.533 1.533 Pt
3.065 3.065 3.065 Pt
```

Calculated values
Density = 18.285 Mg/m³
Spin magnetization = 3.58 μB per formula unit
Formation energy = 0.07 eV per atom

---

6.
The following is a SCAN calculation of a PBEsol-optimized structure of TiReSN2, from Alexandria via LeMat-Bulk.

```
TiReSN2
1.0
3.787 0.000 0.000
0.000 3.787 0.000
0.000 0.000 4.788
Ti Re S N
1 1 1 2
Cartesian
0.000 0.000 0.000 Ti
1.893 1.893 2.394 Re
0.000 0.000 2.394 S
0.000 1.893 0.000 N
1.893 0.000 0.000 N
```

Calculated values
Density = 7.115 Mg/m³
Spin magnetization = 3.07 μB per formula unit
E = -110.932 eV/cell

---

7.
The following is a SCAN calculation of a PBEsol-optimized structure of CoHgSe, from Alexandria via LeMat-Bulk.

```
CoHgSe
1.0
-1.465 1.465 6.142
1.465 -1.465 6.142
1.465 1.465 -6.142
Co Hg Se
1 1 1
Cartesian
0.000 0.000 0.000 Co
0.000 0.000 8.212 Hg
0.000 0.000 5.012 Se
```

Calculated values
Density = 10.652 Mg/m³
Spin magnetization = 0.97 μB per formula unit
E above lowest polymorph = 0.00 eV per formula unit

---

8.
The following is a SCAN calculation of a PBEsol-optimized structure of BeSiOs2Pd, from Alexandria via LeMat-Bulk.

```
BeSiOs2Pd
1.0
4.355 0.000 0.000
0.000 4.355 0.000
0.000 0.000 4.301
Be Si Os Pd
1 1 2 1
Cartesian
0.000 0.000 0.000 Be
2.177 2.177 2.151 Si
0.000 2.177 2.151 Os
2.177 0.000 2.151 Os
2.177 2.177 0.000 Pd
```

Calculated values
Density = 10.668 Mg/m³
Spin magnetization = 0.27 μB per formula unit
E = -185.322 eV/cell

---

9.
The following is a SCAN calculation of a PBEsol-optimized structure of LiBeMo2, from Alexandria via LeMat-Bulk.

```
LiBeMo2
1.0
1.322 0.763 9.161
-1.322 0.763 9.161
0.000 -1.526 9.161
Li Be Mo
1 1 2
Cartesian
0.000 0.000 0.000 Li
0.000 0.000 13.742 Be
0.000 0.000 6.680 Mo
0.000 0.000 20.803 Mo
```

Calculated values
Density = 6.224 Mg/m³
Spin magnetization = 0.00 μB per formula unit
Formation energy = 0.41 eV per atom
E above lowest polymorph = 0.62 eV per formula unit

---

10.
The following is a SCAN calculation of a PBEsol-optimized structure of SrRh2Au, from Alexandria via LeMat-Bulk.

```
SrRh2Au
1.0
3.065 0.000 0.000
0.000 4.717 0.000
0.000 0.000 4.926
Sr Rh Au
1 2 1
Cartesian
0.000 0.000 0.000 Sr
0.000 2.359 2.463 Rh
1.533 2.359 0.000 Rh
1.533 0.000 2.463 Au
```

Calculated values
Density = 11.432 Mg/m³
Spin magnetization = 0.00 μB per formula unit
Formation energy = 0.11 eV per atom

---

11.
The following is a SCAN calculation of a PBEsol-optimized structure of Ca2ZrCl, from Alexandria via LeMat-Bulk.

```
Ca2ZrCl
1.0
3.392 0.000 0.000
0.000 5.616 0.000
-0.011 0.000 5.998
Ca Zr Cl
2 1 1
Cartesian
0.000 0.000 0.000 Ca
0.016 2.808 4.003 Ca
1.703 2.808 0.997 Zr
1.697 0.000 2.100 Cl
```

Calculated values
Density = 3.006 Mg/m³
Spin magnetization = 1.33 μB per formula unit
E above lowest polymorph = 0.02 eV per formula unit

---

12.
The following is a SCAN calculation of a PBEsol-optimized structure of BiPd2O4, from Alexandria via LeMat-Bulk.

```
BiPd2O4
1.0
5.641 0.000 0.000
-2.232 5.643 0.000
-0.659 -3.120 5.528
Bi Pd O
2 4 8
Cartesian
-0.027 0.325 1.983 Bi
2.776 2.199 3.544 Bi
-1.116 2.822 0.000 Pd
2.820 0.000 0.000 Pd
2.491 -1.560 2.764 Pd
1.704 2.822 0.000 Pd
-1.222 4.780 0.059 O
-0.768 2.510 1.971 O
1.257 -1.817 4.267 O
0.800 1.189 4.170 O
1.949 1.335 1.358 O
1.493 4.341 1.261 O
3.517 0.014 3.557 O
3.971 -2.256 5.469 O
```

Calculated values
Density = 9.169 Mg/m³
Spin magnetization = 0.00 μB per formula unit
E = -350.044 eV/cell

---

13.
The following is a SCAN calculation of a PBEsol-optimized structure of LiCu2Pt, from Alexandria via LeMat-Bulk.

```
LiCu2Pt
1.0
-1.843 1.843 3.618
1.843 -1.843 3.618
1.843 1.843 -3.618
Li Cu Pt
1 2 1
Cartesian
0.000 0.000 0.000 Li
1.843 0.000 1.809 Cu
0.000 0.000 3.618 Cu
0.000 1.843 1.809 Pt
```

Calculated values
Density = 11.122 Mg/m³
Spin magnetization = 0.00 μB per formula unit
Formation energy = -0.28 eV per atom
E above lowest polymorph = 0.07 eV per formula unit

---

14.
The following is a SCAN calculation of a PBEsol-optimized structure of Ag3Ir, from Alexandria via LeMat-Bulk.

```
Ag3Ir
1.0
0.000 3.167 3.167
3.167 0.000 3.167
3.167 3.167 0.000
Ag Ir
3 1
Cartesian
0.000 0.000 0.000 Ag
1.584 1.584 1.584 Ag
4.751 4.751 4.751 Ag
3.167 3.167 3.167 Ir
```

Calculated values
Density = 13.480 Mg/m³
Spin magnetization = 0.00 μB per formula unit
Formation energy = 0.53 eV per atom

---

15.
The following is a SCAN calculation of a PBEsol-optimized structure of KGaPO4F, from Alexandria via LeMat-Bulk.

```
KGaPO4F
1.0
12.728 0.000 0.000
0.000 6.303 0.000
0.000 0.000 10.496
K Ga P O F
8 8 8 32 8
Cartesian
1.332 1.233 0.000 K
1.548 4.875 7.799 K
4.816 1.723 2.551 K
5.032 4.384 5.248 K
7.697 1.919 0.000 K
7.912 4.580 7.799 K
11.180 1.428 2.551 K
11.396 5.070 5.248 K
1.422 3.119 4.681 Ga
3.138 4.738 2.049 Ga
3.226 1.587 7.297 Ga
4.943 6.271 9.929 Ga
7.786 0.032 4.681 Ga
9.502 4.716 2.049 Ga
9.590 1.565 7.297 Ga
11.307 3.184 9.929 Ga
0.002 2.064 7.311 P
12.727 4.239 2.063 P
2.337 0.004 4.697 P
4.028 3.155 9.945 P
6.366 1.087 7.311 P
6.363 5.216 2.063 P
8.701 3.148 4.697 P
10.392 6.299 9.945 P
0.128 3.348 3.325 O
0.172 3.053 6.130 O
1.232 5.139 1.858 O
1.263 1.186 7.485 O
1.442 1.217 4.400 O
1.436 5.086 5.004 O
3.074 2.846 8.757 O
3.086 3.403 0.666 O
3.278 0.252 5.914 O
3.290 5.997 3.509 O
4.928 1.934 10.252 O
4.922 4.369 9.648 O
5.102 4.338 2.237 O
5.133 1.988 7.106 O
6.192 6.204 0.882 O
6.236 0.196 8.574 O
6.492 6.107 3.325 O
6.536 0.099 6.130 O
7.596 4.315 1.858 O
7.627 1.965 7.485 O
7.806 1.934 4.400 O
7.801 4.369 5.004 O
9.438 0.306 8.757 O
9.450 6.051 0.666 O
9.643 2.900 5.914 O
9.654 3.457 3.509 O
11.292 1.217 10.252 O
11.286 5.086 9.648 O
11.466 5.117 2.237 O
11.497 1.164 7.106 O
12.556 3.250 0.882 O
12.600 2.955 8.574 O
2.894 3.043 6.033 F
2.921 3.311 3.407 F
3.443 0.159 8.655 F
3.471 6.194 0.785 F
9.258 0.109 6.033 F
9.285 6.144 3.407 F
9.808 2.992 8.655 F
9.835 3.261 0.785 F
```

Calculated values
Density = 3.515 Mg/m³
Spin magnetization = 0.00 μB per formula unit
E = -672.723 eV/cell

---

16.
The following is a SCAN calculation of a PBEsol-optimized structure of K2Tl2Pt, from Alexandria via LeMat-Bulk.

```
K2Tl2Pt
1.0
7.211 0.000 0.000
0.000 7.211 0.000
0.000 0.000 5.812
K Tl Pt
4 4 2
Cartesian
1.308 2.298 0.000 K
2.298 5.903 0.000 K
4.913 1.308 0.000 K
5.903 4.913 0.000 K
1.108 4.713 2.906 Tl
2.498 1.108 2.906 Tl
4.713 6.103 2.906 Tl
6.103 2.498 2.906 Tl
0.000 0.000 2.906 Pt
3.605 3.605 2.906 Pt
```

Calculated values
Density = 7.496 Mg/m³
Spin magnetization = 0.00 μB per formula unit
Formation energy = -0.15 eV per atom

---

17.
The following is a SCAN calculation of a PBEsol-optimized structure of BaAsS2O, from Alexandria via LeMat-Bulk.

```
BaAsS2O
1.0
5.034 0.000 0.000
0.000 5.034 0.000
0.000 0.000 3.975
Ba As S O
1 1 2 1
Cartesian
0.000 0.000 0.000 Ba
2.517 2.517 0.000 As
0.000 2.517 1.987 S
2.517 0.000 1.987 S
2.517 2.517 1.987 O
```

Calculated values
Density = 4.820 Mg/m³
Spin magnetization = 0.93 μB per formula unit
E = -87.219 eV/cell

---

18.
The following is a SCAN calculation of a PBEsol-optimized structure of BaMgW2, from Alexandria via LeMat-Bulk.

```
BaMgW2
1.0
1.872 -2.119 0.000
1.872 2.119 0.000
0.000 0.000 10.340
Ba Mg W
1 1 2
Cartesian
0.000 0.000 0.000 Ba
0.000 0.000 5.170 Mg
1.872 0.000 2.941 W
1.872 0.000 7.399 W
```

Calculated values
Density = 10.714 Mg/m³
Spin magnetization = 0.00 μB per formula unit
Formation energy = 1.27 eV per atom

---

19.
The following is a SCAN calculation of a PBEsol-optimized structure of LaTcBr2, from Alexandria via LeMat-Bulk.

```
LaTcBr2
1.0
-2.072 2.072 5.204
2.072 -2.072 5.204
2.072 2.072 -5.204
La Tc Br
1 1 2
Cartesian
0.000 0.000 0.000 La
0.000 2.072 2.602 Tc
2.072 0.000 2.602 Br
0.000 0.000 5.204 Br
```

Calculated values
Density = 7.371 Mg/m³
Spin magnetization = 2.48 μB per formula unit
E above lowest polymorph = 1.73 eV per formula unit

---

20.
The following is a SCAN calculation of a PBEsol-optimized structure of CrCd3Se, from Alexandria via LeMat-Bulk.

```
CrCd3Se
1.0
5.137 0.000 0.000
0.000 5.137 0.000
0.000 0.000 5.137
Cr Cd Se
1 3 1
Cartesian
0.000 0.000 0.000 Cr
0.000 0.000 2.569 Cd
0.000 2.569 0.000 Cd
2.569 0.000 0.000 Cd
2.569 2.569 2.569 Se
```

Calculated values
Density = 5.734 Mg/m³
Spin magnetization = 4.52 μB per formula unit
E = -126.631 eV/cell